The following is a PBE-GGA calculation of an optimized crystal structure of CoHg2BiOs, from Alexandria.

Geometry as POSCAR:
```
CoHg2BiOs
1.0
4.933 0.000 0.000
0.000 4.933 0.000
0.000 0.000 4.526
Co Hg Bi Os
1 2 1 1
Cartesian
0.000 0.000 0.000
0.000 2.466 0.000
2.466 0.000 0.000
2.466 2.466 2.263
0.000 0.000 2.263
```

Computed properties:
Its space-group type is No. 123. For the formation energy from the elements, the calculation gives 0.960 eV/atom.